Here is crystalline KSc2Ni at its relaxed geometry from Alexandria via LeMat-Bulk. Energies are from GGA-PBE.

## Properties
Energy relative to the elements (eV per atom): 0.092
E above lowest polymorph (eV per atom): 0.039

```
4
Lattice="2.187 0.000 10.265 -1.094 1.894 10.265 -1.094 -1.894 10.265" Properties=species:S:1:pos:R:3 pbc="T T T"
Sc 0.000 0.000 3.855
Sc 0.000 0.000 26.940
K 0.000 0.000 0.000
Ni 0.000 0.000 15.398
```